This record from Alexandria via LeMat-Bulk describes a relaxed CoSn3F crystal. The functional is GGA+U.

For the total energy, the calculation gives -19.91 eV per formula unit. The value obtained for the density of states at the Fermi level is 0.81 states/eV per atom. The volume comes out at 22.9 Å³/atom.

It has space group Pm-3m (No. 221), with a = 4.858 Å, b = 4.858 Å, c = 4.858 Å, α = 90.00°, β = 90.00° and γ = 90.00°. Symmetry generates all atoms from Co at (0.000, 0.000, 0.000), Sn at (0.000, 0.000, 0.500) and F at (0.500, 0.500, 0.500).